Record 1
Compound: Na2In5Pb2
Source: Alexandria via LeMat-Bulk
Functional: PBE
Structure: optimized geometry

## Properties
- Magnetic moment: 0.000 μB/atom
- SG: P-1
- Formation enthalpy at 0 K: -1.10 kcal/mol of atoms
- Crystal system: triclinic

Lattice parameters (Å, degrees): 6.669 6.725 8.727 51.37 115.24 119.89
Element x y z (fractional)
Pb 0.224 0.504 0.355
Pb 0.776 0.496 0.645
In 0.000 0.000 0.000
In 0.209 0.959 0.401
In 0.605 0.504 0.214
In 0.395 0.496 0.786
In 0.791 0.041 0.599
Na 0.286 0.887 0.837
Na 0.714 0.113 0.163

---

Record 2
Compound: NaInPb6
Source: Alexandria via LeMat-Bulk
Functional: PBE
Structure: optimized geometry

## Properties
- Magnetic moment: 0.000 μB/atom
- SG: P4/mmm
- Formation enthalpy at 0 K: -0.91 kcal/mol of atoms
- Crystal system: tetragonal
- Excess energy over the best structure of this formula in the dataset: 0 meV per atom

Lattice parameters (Å, degrees): 4.877 4.877 10.171 90.00 90.00 90.00
Element x y z (fractional)
Pb 0.000 0.500 0.248
Pb 0.000 0.500 0.752
Pb 0.500 0.500 0.000
Pb 0.500 0.500 0.500
Pb 0.500 0.000 0.752
Pb 0.500 0.000 0.248
In 0.000 0.000 0.500
Na 0.000 0.000 0.000

---

Record 3
Compound: NaInPb
Source: Alexandria via LeMat-Bulk
Functional: PBE
Structure: optimized geometry

## Properties
- Magnetic moment: 0.000 μB/atom
- SG: P1
- Formation enthalpy at 0 K: -2.27 kcal/mol of atoms
- Crystal system: triclinic

Lattice parameters (Å, degrees): 6.154 4.694 6.885 90.24 108.99 66.86
Element x y z (fractional)
In 0.019 0.921 0.675
In 0.347 0.254 0.529
Pb 0.334 0.263 0.011
Pb 0.674 0.592 0.847
Na 0.012 0.924 0.182
Na 0.681 0.589 0.357

---

Record 4
Compound: NaIn2Pb10
Source: Alexandria via LeMat-Bulk
Functional: PBE
Structure: optimized geometry

## Properties
- Magnetic moment: 0.000 μB/atom
- SG: Fmmm
- Formation enthalpy at 0 K: 0.61 kcal/mol of atoms
- Crystal system: orthorhombic

Lattice parameters (Å, degrees): 6.420 8.811 8.659 82.24 68.24 68.64
Element x y z (fractional)
Pb 0.500 0.000 0.500
Pb 0.715 0.782 0.788
Pb 0.000 0.000 0.500
Pb 0.285 0.218 0.212
Pb 0.002 0.644 0.351
Pb 0.497 0.218 0.788
Pb 0.998 0.356 0.649
Pb 0.503 0.782 0.212
Pb 0.353 0.644 0.649
Pb 0.647 0.356 0.351
In 0.500 0.500 0.000
In 0.000 0.500 0.000
Na 0.000 0.000 0.000

---

Record 5
Compound: Na4In5Pb2
Source: Alexandria via LeMat-Bulk
Functional: PBE
Structure: optimized geometry

## Properties
- Magnetic moment: 0.000 μB/atom
- SG: P2/m
- Formation enthalpy at 0 K: -1.86 kcal/mol of atoms
- Crystal system: monoclinic
- Excess energy over the best structure of this formula in the dataset: 0 meV per atom

Lattice parameters (Å, degrees): 3.359 8.274 11.044 93.12 90.00 90.00
Element x y z (fractional)
Na 0.500 0.702 0.554
Na 0.500 0.163 0.900
Na 0.500 0.298 0.446
Na 0.500 0.837 0.100
In 0.000 0.794 0.837
In 0.000 0.500 0.000
In 0.000 0.206 0.163
In 0.000 0.436 0.718
In 0.000 0.564 0.282
Pb 0.000 0.059 0.643
Pb 0.000 0.941 0.357

---

Record 6
Compound: NaInPb
Source: Alexandria via LeMat-Bulk
Functional: PBE
Structure: optimized geometry

## Properties
- Magnetic moment: 0.000 μB/atom
- SG: Amm2
- Formation enthalpy at 0 K: -2.19 kcal/mol of atoms
- Crystal system: orthorhombic

Lattice parameters (Å, degrees): 5.334 6.086 6.086 60.13 90.00 90.00
Element x y z (fractional)
Pb 0.000 0.258 0.416
Pb 0.000 0.584 0.742
In 0.000 0.935 0.065
In 0.500 0.245 0.755
Na 0.500 0.920 0.410
Na 0.500 0.590 0.080